[1]
# TaPtCl2

Crystalline TaPtCl2 at its relaxed geometry (PBE, Alexandria).

crystal system	cubic
raw formation energy	0.53	eV/atom
symmetry	No. 225
relative energy among the computed polymorphs	4.78	eV/f.u.
spin magnetization	0.0	μB/f.u.
theoretical density	11.322	g/cm³

abc: 4.5258 4.5258 4.5258
angles: 60.00 60.00 60.00
Element x y z (fractional)
Cl  0.2500  0.2500  0.2500
Cl  0.7500  0.7500  0.7500
Pt  0.0000  0.0000  0.0000
Ta  0.5000  0.5000  0.5000

[2]
# Sc2Al2SiNi5

Crystalline Sc2Al2SiNi5 at its relaxed geometry (PBE, Alexandria).

crystal system	tetragonal
raw formation energy	-0.47	eV/atom
symmetry	No. 127
spin magnetization	0.0	μB/f.u.
theoretical density	5.582	g/cm³

abc: 2.8065 9.9329 9.9329
angles: 90.00 90.00 90.00
Element x y z (fractional)
Sc  0.0000  0.6697  0.1697
Sc  0.0000  0.3303  0.8303
Sc  0.0000  0.1697  0.3303
Sc  0.0000  0.8303  0.6697
Al  0.0000  0.1341  0.6341
Al  0.0000  0.8659  0.3659
Al  0.0000  0.6341  0.8659
Al  0.0000  0.3659  0.1341
Si  0.0000  0.0000  0.0000
Si  0.0000  0.5000  0.5000
Ni  0.5000  0.1838  0.0502
Ni  0.5000  0.8162  0.9498
Ni  0.5000  0.0502  0.8162
Ni  0.5000  0.6838  0.4498
Ni  0.5000  0.9498  0.1838
Ni  0.5000  0.3162  0.5502
Ni  0.5000  0.5502  0.6838
Ni  0.5000  0.4498  0.3162
Ni  0.5000  0.5000  0.0000
Ni  0.5000  0.0000  0.5000

[3]
# Pr3TiAl2O9

Crystalline Pr3TiAl2O9 at its relaxed geometry (PBE, Alexandria).

crystal system	trigonal
raw formation energy	-3.14	eV/atom
symmetry	No. 164
spin magnetization	0.7	μB/f.u.
theoretical density	6.518	g/cm³

abc: 5.4305 5.4305 6.6691
angles: 90.00 90.00 120.00
Each line ends with the local moment (μB).
Element x y z (fractional)
Pr  0.3333  0.6667  0.6703  0.03
Pr  0.0000  0.0000  0.0000  0.01
Pr  0.6667  0.3333  0.3297  0.03
Ti  0.0000  0.0000  0.5000  0.54
Al  0.3333  0.6667  0.1608  0.00
Al  0.6667  0.3333  0.8392  0.00
O  0.8292  0.1708  0.6731  -0.01
O  0.8292  0.6584  0.6731  -0.01
O  0.3416  0.1708  0.6731  -0.01
O  0.6584  0.8292  0.3269  -0.01
O  0.1708  0.3416  0.3269  -0.01
O  0.1708  0.8292  0.3269  -0.01
O  0.5000  0.0000  0.0000  0.00
O  0.0000  0.5000  0.0000  0.00
O  0.5000  0.5000  0.0000  0.00

[4]
# Ba2UH3O3

Crystalline Ba2UH3O3 at its relaxed geometry (PBE, Alexandria).

crystal system	hexagonal
symmetry	No. 189
DFT total energy	-6.25	eV per atom
spin magnetization	1.0	μB/f.u.
theoretical density	7.050	g/cm³

abc: 3.8131 6.3409 6.3409
angles: 120.00 90.00 90.00
Each line ends with the local moment (μB).
Element x y z (fractional)
Ba  0.5000  0.3333  0.6667  0.01
Ba  0.5000  0.6667  0.3333  0.01
U  0.0000  0.0000  0.0000  0.98
H  0.5000  0.8001  0.0000  -0.01
H  0.5000  0.1999  0.1999  -0.01
H  0.5000  0.0000  0.8001  -0.01
O  0.0000  0.0000  0.3315  -0.03
O  0.0000  0.6685  0.6685  -0.03
O  0.0000  0.3315  0.0000  -0.03